Compound: LaMgGa
Source: Alexandria via LeMat-Bulk
Functional: GGA-PBEsol
Structure: relaxed

abc: 7.4854 7.4854 4.5753
angles: 90.00 90.00 120.00
Positions (direct):
La 0.0000 0.5761 0.0000
La 0.4239 0.4239 0.0000
La 0.5761 0.0000 0.0000
Mg 0.0000 0.2422 0.5000
Mg 0.2422 0.0000 0.5000
Mg 0.7578 0.7578 0.5000
Ga 0.0000 0.0000 0.0000
Ga 0.3333 0.6667 0.5000
Ga 0.6667 0.3333 0.5000

## Properties
- density of states at the Fermi level (states/eV per cell) = 2.28
- energy of formation (eV per atom) = -0.487
- VASP energy (eV for the cell shown) = -35.6

=====

Compound: BaSr2In2
Source: Alexandria via LeMat-Bulk
Functional: GGA-PBEsol
Structure: relaxed

abc: 5.9504 5.9504 12.0156
angles: 90.00 90.00 90.00
Positions (direct):
Ba 0.0000 0.0000 0.0000
Ba 0.5000 0.5000 0.5000
Sr 0.0000 0.0000 0.3483
Sr 0.0000 0.0000 0.6517
Sr 0.5000 0.5000 0.1517
Sr 0.5000 0.5000 0.8483
In 0.0000 0.5000 0.2500
In 0.0000 0.5000 0.7500
In 0.5000 0.0000 0.2500
In 0.5000 0.0000 0.7500

## Properties
- density of states at the Fermi level (states/eV per cell) = 10.16
- energy of formation (eV per atom) = -0.092
- polymorph energy (0 for the lowest one) (meV per atom) = 247
- VASP energy (eV for the cell shown) = -24.5

=====

Compound: KRh2Se
Source: Alexandria via LeMat-Bulk
Functional: GGA-PBEsol
Structure: relaxed

abc: 2.9163 3.7372 7.0838
angles: 90.00 90.00 90.00
Positions (direct):
K 0.0000 0.0000 0.0000
Rh 0.0000 0.0000 0.5143
Rh 0.5000 0.5000 0.3250
Se 0.5000 0.5000 0.6587

## Properties
- uncorrected formation energy (meV per atom) = 141
- density of states at the Fermi level (states/eV per cell) = 4.01
- VASP energy (eV for the cell shown) = -20.7

=====

Compound: CsNiS2Cl
Source: Alexandria via LeMat-Bulk
Functional: GGA-PBEsol
Structure: relaxed

abc: 5.2180 5.2180 6.0760
angles: 90.00 90.00 90.00
Positions (direct):
Cs 0.0000 0.0000 0.0000
Ni 0.5000 0.5000 0.5000
S 0.0000 0.5000 0.0000
S 0.5000 0.0000 0.0000
Cl 0.0000 0.0000 0.5000

## Properties
- uncorrected formation energy (meV per atom) = 1399
- density of states at the Fermi level (states/eV per cell) = 7.90
- VASP energy (eV for the cell shown) = -10.9

=====

Compound: LaReN2F
Source: Alexandria via LeMat-Bulk
Functional: GGA-PBEsol
Structure: relaxed

abc: 3.9551 3.9551 4.1250
angles: 90.00 90.00 90.00
Positions (direct):
La 0.0000 0.0000 0.0000
Re 0.5000 0.5000 0.5000
N 0.0000 0.5000 0.5000
N 0.5000 0.0000 0.5000
F 0.5000 0.5000 0.0000

## Properties
- uncorrected formation energy (meV per atom) = -1115
- density of states at the Fermi level (states/eV per cell) = 1.82
- VASP energy (eV for the cell shown) = -43.2

=====

Compound: MnCrB3
Source: Alexandria via LeMat-Bulk
Functional: GGA-PBEsol
Structure: relaxed

abc: 3.6959 3.6959 3.6959
angles: 90.00 90.00 90.00
Positions (direct):
Mn 0.0000 0.0000 0.0000
Cr 0.5000 0.5000 0.5000
B 0.0000 0.0000 0.5000
B 0.0000 0.5000 0.0000
B 0.5000 0.0000 0.0000

## Properties
- density of states at the Fermi level (states/eV per cell) = 2.40
- energy of formation (eV per atom) = 0.811
- VASP energy (eV for the cell shown) = -37.0

=====

Compound: ScMo2Ru
Source: Alexandria via LeMat-Bulk
Functional: GGA-PBEsol
Structure: relaxed

abc: 2.8087 4.3085 5.2142
angles: 90.00 99.96 90.00
Positions (direct):
Sc 0.0000 0.0000 0.0000
Mo 0.5168 0.0000 0.5043
Mo 0.7246 0.5000 0.2663
Ru 0.2592 0.5000 0.7588

## Properties
- density of states at the Fermi level (states/eV per cell) = 2.51
- energy of formation (eV per atom) = 0.010
- polymorph energy (0 for the lowest one) (meV per atom) = 89
- VASP energy (eV for the cell shown) = -40.3

=====

Compound: ZrSbCl2
Source: Alexandria via LeMat-Bulk
Functional: GGA-PBEsol
Structure: relaxed

abc: 4.3470 4.3470 8.7319
angles: 90.00 90.00 90.00
Positions (direct):
Zr 0.0000 0.0000 0.0000
Zr 0.5000 0.5000 0.5000
Sb 0.0000 0.5000 0.7500
Sb 0.5000 0.0000 0.2500
Cl 0.0000 0.0000 0.5000
Cl 0.0000 0.5000 0.2500
Cl 0.5000 0.0000 0.7500
Cl 0.5000 0.5000 0.0000

## Properties
- uncorrected formation energy (meV per atom) = -408
- density of states at the Fermi level (states/eV per cell) = 4.93
- polymorph energy (0 for the lowest one) (meV per atom) = 0
- VASP energy (eV for the cell shown) = -38.6

=====

Compound: RhF6
Source: Alexandria via LeMat-Bulk
Functional: GGA-PBEsol
Structure: relaxed

abc: 6.3211 6.3211 6.3211
angles: 90.00 90.00 90.00
Positions (direct):
Rh 0.0000 0.0000 0.0000
Rh 0.5000 0.5000 0.5000
F 0.0000 0.0000 0.2902
F 0.0000 0.0000 0.7098
F 0.0000 0.2902 0.0000
F 0.0000 0.7098 0.0000
F 0.2098 0.5000 0.5000
F 0.2902 0.0000 0.0000
F 0.5000 0.2098 0.5000
F 0.5000 0.5000 0.2098
F 0.5000 0.5000 0.7902
F 0.5000 0.7902 0.5000
F 0.7098 0.0000 0.0000
F 0.7902 0.5000 0.5000

## Properties
- uncorrected formation energy (meV per atom) = -1295
- VASP energy (eV for the cell shown) = -57.5

=====

Compound: LiZnIr2
Source: Alexandria via LeMat-Bulk
Functional: GGA-PBEsol
Structure: relaxed

abc: 2.7436 4.3142 4.5437
angles: 90.00 90.00 90.00
Positions (direct):
Li 0.0000 0.0000 0.0000
Zn 0.5000 0.0000 0.5000
Ir 0.0000 0.5000 0.5000
Ir 0.5000 0.5000 0.0000

## Properties
- density of states at the Fermi level (states/eV per cell) = 3.29
- energy of formation (eV per atom) = -0.136
- VASP energy (eV for the cell shown) = -23.7

=====

Compound: CdSiH2
Source: Alexandria via LeMat-Bulk
Functional: GGA-PBEsol
Structure: relaxed

abc: 5.6212 5.6212 5.6212
angles: 90.00 90.00 90.00
Positions (direct):
Cd 0.0000 0.0000 0.0000
Cd 0.0000 0.5000 0.5000
Cd 0.5000 0.0000 0.5000
Cd 0.5000 0.5000 0.0000
Si 0.0000 0.0000 0.5000
Si 0.0000 0.5000 0.0000
Si 0.5000 0.0000 0.0000
Si 0.5000 0.5000 0.5000
H 0.2500 0.2500 0.2500
H 0.2500 0.2500 0.7500
H 0.2500 0.7500 0.2500
H 0.2500 0.7500 0.7500
H 0.7500 0.2500 0.2500
H 0.7500 0.2500 0.7500
H 0.7500 0.7500 0.2500
H 0.7500 0.7500 0.7500

## Properties
- density of states at the Fermi level (states/eV per cell) = 5.21
- VASP energy (eV for the cell shown) = -41.5

=====

Compound: K2LaAgCl6
Source: Alexandria via LeMat-Bulk
Functional: GGA-PBEsol
Structure: relaxed

abc: 7.5872 7.5872 7.5872
angles: 60.00 60.00 60.00
Positions (direct):
K 0.2500 0.2500 0.2500
K 0.7500 0.7500 0.7500
La 0.0000 0.0000 0.0000
Ag 0.5000 0.5000 0.5000
Cl 0.2538 0.2538 0.7462
Cl 0.2538 0.7462 0.2538
Cl 0.2538 0.7462 0.7462
Cl 0.7462 0.2538 0.2538
Cl 0.7462 0.2538 0.7462
Cl 0.7462 0.7462 0.2538

## Properties
- uncorrected formation energy (meV per atom) = -1744
- density of states at the Fermi level (states/eV per cell) = 0.00
- VASP energy (eV for the cell shown) = -40.4